Entry w
A plane-wave DFT calculation with PBE-GGA was carried out for an optimized crystal structure of SbHRh2.

POSCAR file:
```
SbHRh2
1.0
6.070 0.000 0.000
0.000 6.070 0.000
0.000 0.000 6.070
Sb H Rh
4 4 8
Cartesian
0.000 0.000 0.000
0.000 3.035 3.035
3.035 0.000 3.035
3.035 3.035 0.000
0.000 0.000 3.035
0.000 3.035 0.000
3.035 0.000 0.000
3.035 3.035 3.035
1.517 1.517 1.517
1.517 1.517 4.552
1.517 4.552 1.517
1.517 4.552 4.552
4.552 1.517 1.517
4.552 1.517 4.552
4.552 4.552 1.517
4.552 4.552 4.552
```

Calculated values
Symmetry: No. 225
Magnetic moment, μB per formula unit: 0.0



Entry x
A plane-wave DFT calculation with PBE-GGA was carried out for an optimized crystal structure of SbHRh2.

POSCAR file:
```
SbHRh2
1.0
4.420 0.000 0.000
-2.210 3.828 0.000
0.000 0.000 13.407
Sb H Rh
3 3 6
Cartesian
0.000 0.000 0.000
0.000 2.552 8.938
2.210 1.276 4.469
0.000 0.000 6.704
0.000 2.552 2.235
2.210 1.276 11.173
0.000 0.000 5.041
0.000 0.000 8.366
0.000 2.552 0.572
0.000 2.552 3.897
2.210 1.276 9.510
2.210 1.276 12.836
```

Calculated values
Symmetry: No. 166
Magnetic moment, μB per formula unit: 0.0



Entry y
A plane-wave DFT calculation with PBE-GGA was carried out for an optimized crystal structure of SbHRh2.

POSCAR file:
```
SbHRh2
1.0
5.172 0.000 0.000
0.000 5.172 0.000
0.000 0.000 8.614
Sb H Rh
4 4 8
Cartesian
0.000 0.000 0.000
0.000 2.586 2.153
2.586 0.000 6.460
2.586 2.586 4.307
0.000 0.000 4.307
0.000 2.586 6.460
2.586 0.000 2.153
2.586 2.586 0.000
0.595 1.293 5.383
1.293 3.181 7.537
1.293 4.577 3.230
1.991 1.293 1.077
3.181 3.879 1.077
3.879 0.595 3.230
3.879 1.991 7.537
4.577 3.879 5.383
```

Calculated values
Symmetry: No. 122
Magnetic moment, μB per formula unit: 0.0



Entry z
A plane-wave DFT calculation with PBE-GGA was carried out for an optimized crystal structure of SbHRh2.

POSCAR file:
```
SbHRh2
1.0
5.583 0.000 0.000
0.000 3.689 0.000
0.000 0.000 10.375
Sb H Rh
4 4 8
Cartesian
0.849 0.922 1.097
1.942 2.767 6.284
3.640 0.922 4.091
4.734 2.767 9.278
0.850 2.767 3.758
1.942 0.922 8.945
3.641 2.767 1.430
4.733 0.922 6.618
0.687 0.922 7.623
1.010 0.922 4.517
1.781 2.767 9.704
2.104 2.767 2.435
3.478 0.922 7.940
3.801 0.922 0.671
4.572 2.767 5.859
4.895 2.767 2.752
```

Calculated values
Symmetry: No. 62
Magnetic moment, μB per formula unit: 0.0



The structure with the most favorable energy is entry z; the runner-up is 0.110 eV/atom above it.



Entry w
A plane-wave DFT calculation with PBE-GGA was carried out for an optimized crystal structure of SbH3Rh.

POSCAR file:
```
SbH3Rh
1.0
3.677 0.000 0.000
0.000 3.677 0.000
0.000 0.000 3.677
Sb H Rh
1 3 1
Cartesian
0.000 0.000 0.000
0.000 1.838 1.838
1.838 0.000 1.838
1.838 1.838 0.000
1.838 1.838 1.838
```

Calculated values
Symmetry: No. 221
Magnetic moment, μB per formula unit: 0.0



Entry x
A plane-wave DFT calculation with PBE-GGA was carried out for an optimized crystal structure of SbH3Rh.

POSCAR file:
```
SbH3Rh
1.0
3.883 0.000 0.000
0.000 3.883 0.000
0.000 0.000 3.883
Sb H Rh
1 3 1
Cartesian
0.000 0.000 0.000
0.000 0.000 1.941
0.000 1.941 0.000
1.941 0.000 0.000
1.941 1.941 1.941
```

Calculated values
Symmetry: No. 221
Magnetic moment, μB per formula unit: 0.8



The structure with the most favorable energy is entry w; the runner-up is 0.752 eV/atom above it.



Entry w
A plane-wave DFT calculation with PBE-GGA was carried out for an optimized crystal structure of Sc2SbHRh.

POSCAR file:
```
Sc2SbHRh
1.0
4.489 0.000 0.000
0.000 4.489 0.000
0.000 0.000 3.934
Sc Sb H Rh
2 1 1 1
Cartesian
0.000 2.245 0.000
2.245 0.000 0.000
0.000 0.000 1.967
2.245 2.245 0.000
2.245 2.245 1.967
```

Calculated values
Symmetry: No. 123
Magnetic moment, μB per formula unit: 0.3



Entry x
A plane-wave DFT calculation with PBE-GGA was carried out for an optimized crystal structure of Sc2SbHRh.

POSCAR file:
```
Sc2SbHRh
1.0
5.445 0.000 0.000
0.000 5.445 0.000
0.000 0.000 3.533
Sc Sb H Rh
2 1 1 1
Cartesian
0.000 2.722 0.000
2.722 0.000 0.000
0.000 0.000 0.000
0.000 0.000 1.767
2.722 2.722 1.767
```

Calculated values
Symmetry: No. 123
Magnetic moment, μB per formula unit: 0.0



The structure with the most favorable energy is entry w; the runner-up is 1.015 eV/atom above it.



Entry w
A plane-wave DFT calculation with PBE-GGA was carried out for an optimized crystal structure of TcSbHRh2.

POSCAR file:
```
TcSbHRh2
1.0
3.970 0.000 0.000
0.000 3.970 0.000
0.000 0.000 4.116
Tc Sb H Rh
1 1 1 2
Cartesian
0.000 0.000 0.000
1.985 1.985 0.000
0.000 0.000 2.058
0.000 1.985 2.058
1.985 0.000 2.058
```

Calculated values
Symmetry: No. 123
Magnetic moment, μB per formula unit: 0.0



Entry x
A plane-wave DFT calculation with PBE-GGA was carried out for an optimized crystal structure of TcSbHRh2.

POSCAR file:
```
TcSbHRh2
1.0
4.710 0.000 0.000
0.000 4.710 0.000
0.000 0.000 5.099
Tc Sb H Rh
1 1 1 2
Cartesian
0.000 0.000 0.000
0.000 0.000 2.550
2.355 2.355 2.550
0.000 2.355 0.000
2.355 0.000 0.000
```

Calculated values
Symmetry: No. 123
Magnetic moment, μB per formula unit: 0.8



The structure with the most favorable energy is entry w; the runner-up is 1.593 eV/atom above it.



Entry w
A plane-wave DFT calculation with PBE-GGA was carried out for an optimized crystal structure of ScH8Rh2.

POSCAR file:
```
ScH8Rh2
1.0
2.702 -4.856 0.000
2.702 4.856 0.000
0.000 0.000 3.495
Sc H Rh
1 8 2
Cartesian
0.000 0.000 0.000
1.481 1.260 1.747
2.702 2.715 0.000
1.481 -1.260 1.747
2.702 0.000 0.384
2.702 0.000 3.110
3.923 1.260 1.747
2.702 -2.715 0.000
3.923 -1.260 1.747
2.702 2.755 1.747
2.702 -2.755 1.747
```

Calculated values
Symmetry: No. 65
Magnetic moment, μB per formula unit: 0.0



Entry x
A plane-wave DFT calculation with PBE-GGA was carried out for an optimized crystal structure of ScH8Rh2.

POSCAR file:
```
ScH8Rh2
1.0
4.322 0.000 0.000
0.000 4.322 0.000
0.000 0.000 4.403
Sc H Rh
1 8 2
Cartesian
0.000 0.000 0.000
1.199 1.199 1.245
1.199 1.199 3.159
1.199 3.123 1.245
1.199 3.123 3.159
3.123 1.199 1.245
3.123 1.199 3.159
3.123 3.123 1.245
3.123 3.123 3.159
0.000 2.161 2.202
2.161 0.000 2.202
```

Calculated values
Symmetry: No. 123
Magnetic moment, μB per formula unit: 0.0



The structure with the most favorable energy is entry w; the runner-up is 0.024 eV/atom above it.



Entry w
A plane-wave DFT calculation with PBE-GGA was carried out for an optimized crystal structure of Sc2H2Rh.

POSCAR file:
```
Sc2H2Rh
1.0
6.342 0.000 0.000
0.000 6.342 0.000
0.000 0.000 3.023
Sc H Rh
4 4 2
Cartesian
1.139 2.032 0.000
2.032 5.203 0.000
4.310 1.139 0.000
5.203 4.310 0.000
0.770 3.941 1.511
2.401 0.770 1.511
3.941 5.572 1.511
5.572 2.401 1.511
0.000 0.000 1.511
3.171 3.171 1.511
```

Calculated values
Symmetry: No. 127
Magnetic moment, μB per formula unit: 0.0



Entry x
A plane-wave DFT calculation with PBE-GGA was carried out for an optimized crystal structure of Sc2H2Rh.

POSCAR file:
```
Sc2H2Rh
1.0
3.146 0.000 0.000
0.000 3.146 0.000
0.000 0.000 6.312
Sc H Rh
2 2 1
Cartesian
0.000 0.000 1.483
0.000 0.000 4.828
0.000 1.573 0.000
1.573 0.000 0.000
1.573 1.573 3.156
```

Calculated values
Symmetry: No. 123
Magnetic moment, μB per formula unit: 0.0



Entry y
A plane-wave DFT calculation with PBE-GGA was carried out for an optimized crystal structure of Sc2H2Rh.

POSCAR file:
```
Sc2H2Rh
1.0
3.220 0.000 0.000
0.000 3.220 0.000
0.000 0.000 11.668
Sc H Rh
4 4 2
Cartesian
0.000 0.000 1.650
0.000 0.000 10.019
1.610 1.610 4.185
1.610 1.610 7.484
0.000 1.610 2.917
0.000 1.610 8.751
1.610 0.000 2.917
1.610 0.000 8.751
0.000 0.000 5.834
1.610 1.610 0.000
```

Calculated values
Symmetry: No. 139
Magnetic moment, μB per formula unit: 0.0



The structure with the most favorable energy is entry y; the runner-up is 0.158 eV/atom above it.



Entry w
A plane-wave DFT calculation with PBE-GGA was carried out for an optimized crystal structure of ScH3Rh2.

POSCAR file:
```
ScH3Rh2
1.0
6.466 -2.004 0.000
6.466 2.004 0.000
-0.038 0.000 4.197
Sc H Rh
2 6 4
Cartesian
1.286 0.000 1.032
11.607 0.000 3.165
1.341 0.000 3.140
3.492 0.000 1.156
5.700 0.000 2.946
7.193 0.000 1.252
9.401 0.000 3.041
11.552 0.000 1.057
3.176 0.000 3.160
5.452 0.000 1.053
7.441 0.000 3.145
9.717 0.000 1.037
```

Calculated values
Symmetry: No. 12
Magnetic moment, μB per formula unit: 0.0



Entry x
A plane-wave DFT calculation with PBE-GGA was carried out for an optimized crystal structure of ScH3Rh2.

POSCAR file:
```
ScH3Rh2
1.0
4.374 0.000 0.000
0.000 8.746 0.000
-0.060 0.000 5.761
Sc H Rh
4 12 8
Cartesian
1.072 0.849 0.939
1.042 3.524 3.819
3.273 5.222 1.942
3.243 7.898 4.822
0.695 5.371 5.088
0.725 7.748 2.207
1.082 5.194 2.045
1.052 7.925 4.925
1.493 1.806 4.901
1.523 2.567 2.021
2.792 6.179 3.740
2.822 6.940 0.860
3.262 0.821 0.835
3.232 3.552 3.716
3.589 0.998 3.553
3.619 3.375 0.673
1.010 0.627 3.715
1.040 3.746 0.835
1.052 6.413 3.504
1.082 6.706 0.624
3.233 2.040 5.137
3.263 2.333 2.257
3.275 5.000 4.926
3.305 8.119 2.046
```

Calculated values
Symmetry: No. 14
Magnetic moment, μB per formula unit: 0.0



The structure with the most favorable energy is entry x; the runner-up is 0.009 eV/atom above it.



Entry w
A plane-wave DFT calculation with PBE-GGA was carried out for an optimized crystal structure of Sc3HRh.

POSCAR file:
```
Sc3HRh
1.0
4.325 0.000 0.000
0.000 4.325 0.000
0.000 0.000 4.325
Sc H Rh
3 1 1
Cartesian
0.000 0.000 2.163
0.000 2.163 0.000
2.163 0.000 0.000
0.000 0.000 0.000
2.163 2.163 2.163
```

Calculated values
Symmetry: No. 221
Magnetic moment, μB per formula unit: 0.0



Entry x
A plane-wave DFT calculation with PBE-GGA was carried out for an optimized crystal structure of Sc3HRh.

POSCAR file:
```
Sc3HRh
1.0
5.018 0.000 0.000
0.000 5.018 0.000
0.000 0.000 5.018
Sc H Rh
3 1 1
Cartesian
0.000 0.000 2.509
0.000 2.509 0.000
2.509 0.000 0.000
2.509 2.509 2.509
0.000 0.000 0.000
```

Calculated values
Symmetry: No. 221
Magnetic moment, μB per formula unit: 0.0



The structure with the most favorable energy is entry w; the runner-up is 0.680 eV/atom above it.